Density functional theory data (GGA-PBE) for a geometry-optimized AcEr4Ge4 structure.

abc: 5.7021 9.4616 9.4616
angles: 90.00 90.00 90.00
Positions (direct):
1 Er 0.1144 0.8605 0.3828
2 Ge 0.6016 0.1860 0.6678
3 Ge 0.3984 0.6678 0.8140
4 Ge 0.8984 0.6860 0.1678
5 Ge 0.8984 0.3140 0.8322
6 Ac 0.0000 0.0000 0.0000
7 Er 0.3856 0.6395 0.1172
8 Ac 0.5000 0.5000 0.5000
9 Er 0.6144 0.8828 0.6395
10 Er 0.3856 0.3605 0.8828
11 Er 0.6144 0.1172 0.3605
12 Ge 0.6016 0.8140 0.3322
13 Ge 0.1016 0.1678 0.3140
14 Er 0.8856 0.3828 0.1395
15 Er 0.1144 0.1395 0.6172
16 Ge 0.3984 0.3322 0.1860
17 Er 0.8856 0.6172 0.8605
18 Ge 0.1016 0.8322 0.6860

## Properties
total magnetic moment	0.00	μB/f.u.
energy of formation	-0.6030	eV per atom
electronic total energy	-5.1396	eV/atom